[1]
First-principles (PBE-GGA) data for a relaxed structure of SrGaH5, as listed in Alexandria.

abc: 4.607 7.376 7.376
angles: 90.00 90.00 90.00
Fractional coordinates of all 14 atoms:
H 0.291 0.500 0.328
Sr 0.718 0.000 0.500
H 0.291 0.500 0.672
Ga 0.500 0.000 0.000
Ga 0.500 0.500 0.500
H 0.709 0.672 0.500
H 0.291 0.828 0.000
H 0.782 0.500 0.000
H 0.218 0.000 0.500
H 0.709 0.328 0.500
H 0.709 0.000 0.828
H 0.291 0.172 0.000
Sr 0.282 0.500 0.000
H 0.709 0.000 0.172

Properties
**Mass density**: 2.15 g/cm3
**Uncorrected energy**: -45.33 eV for the cell shown
**Symmetry**: No. 129

[2]
First-principles (PBE-GGA) data for a relaxed structure of HoMg9Cd3, as listed in Alexandria.

abc: 5.894 7.669 7.676
angles: 81.80 67.42 68.19
Fractional coordinates of all 13 atoms:
Cd 0.500 0.000 0.500
Mg 0.000 0.500 0.000
Ho 0.000 0.000 0.000
Cd 0.500 0.500 0.000
Mg 0.652 0.347 0.351
Mg 0.290 0.210 0.213
Mg 0.498 0.790 0.213
Mg 0.004 0.347 0.649
Cd 0.000 0.000 0.500
Mg 0.502 0.210 0.787
Mg 0.996 0.653 0.351
Mg 0.710 0.790 0.787
Mg 0.348 0.653 0.649

Properties
**Mass density**: 4.02 g/cm3
**Uncorrected energy**: -22.82 eV for the cell shown
**Symmetry**: No. 12

[3]
First-principles (PBE-GGA) data for a relaxed structure of SrMg2Cr, as listed in Alexandria.

abc: 3.620 3.693 8.863
angles: 65.38 90.00 90.00
Site moments in Bohr magnetons follow the coordinates.
Fractional coordinates of all 4 atoms:
Mg 0.000 0.438 0.563  -0.02
Sr 0.500 0.250 0.250  0.00
Cr 0.500 0.750 0.750  3.76
Mg 0.000 0.062 0.937  -0.02

Properties
**Mass density**: 2.90 g/cm3
**Uncorrected energy**: -13.21 eV for the cell shown
**Symmetry**: No. 47

[4]
First-principles (PBE-GGA) data for a relaxed structure of BaCuAu, as listed in Alexandria.

abc: 6.084 6.084 3.728
angles: 72.16 72.16 35.68
Fractional coordinates of all 3 atoms:
Au 0.960 0.960 0.040
Cu 0.376 0.376 0.624
Ba 0.664 0.664 0.336

Properties
**Mass density**: 8.67 g/cm3
**Uncorrected energy**: -9.93 eV for the cell shown
**Symmetry**: No. 107

[5]
First-principles (PBE-GGA) data for a relaxed structure of YAl2Cu, as listed in Alexandria.

abc: 8.866 8.866 8.866
angles: 21.17 21.17 21.17
Fractional coordinates of all 4 atoms:
Al 0.516 0.516 0.516
Al 0.984 0.984 0.984
Y 0.750 0.750 0.750
Cu 0.250 0.250 0.250

Properties
**Mass density**: 4.30 g/cm3
**Uncorrected energy**: -17.90 eV for the cell shown
**Symmetry**: No. 166

[6]
First-principles (PBE-GGA) data for a relaxed structure of Pr3PtRhCl, as listed in Alexandria.

abc: 3.933 7.661 10.938
angles: 103.47 90.00 90.00
Fractional coordinates of all 12 atoms:
Rh 0.250 0.765 0.049
Pr 0.750 0.052 0.152
Pr 0.250 0.948 0.848
Pr 0.250 0.710 0.511
Pt 0.250 0.362 0.310
Pt 0.750 0.638 0.690
Cl 0.250 0.112 0.624
Rh 0.750 0.235 0.951
Cl 0.750 0.888 0.376
Pr 0.750 0.555 0.161
Pr 0.750 0.290 0.489
Pr 0.250 0.445 0.839

Properties
**Mass density**: 7.84 g/cm3
**Formation energy (no corrections)**: -6.2 eV per formula unit
**Symmetry**: No. 11

[7]
First-principles (PBE-GGA) data for a relaxed structure of YAl2NiRu, as listed in Alexandria.

abc: 4.646 5.200 4.646
angles: 90.00 90.00 90.00
Fractional coordinates of all 5 atoms:
Ni 0.500 0.500 0.500
Y 0.000 0.500 0.000
Al 0.500 0.000 0.000
Ru 0.000 0.000 0.000
Al 0.000 0.000 0.500

Properties
**Mass density**: 4.48 g/cm3
**Uncorrected energy**: -27.96 eV for the cell shown
**Symmetry**: No. 123

[8]
First-principles (PBE-GGA) data for a relaxed structure of TiTeI2, as listed in Alexandria.

abc: 3.474 7.847 7.415
angles: 123.08 90.00 102.79
Fractional coordinates of all 4 atoms:
Te 0.397 0.795 0.394
I 0.099 0.199 0.061
Ti 0.752 0.504 0.375
I 0.251 0.503 0.670

Properties
**Mass density**: 4.36 g/cm3
**Formation energy (no corrections)**: -2.3 eV per formula unit
**Symmetry**: No. 8

[9]
First-principles (PBE-GGA) data for a relaxed structure of HgSb2TeH, as listed in Alexandria.

abc: 4.541 4.541 5.608
angles: 90.00 90.00 90.00
Fractional coordinates of all 5 atoms:
Sb 0.000 0.500 0.000
Hg 0.500 0.500 0.500
Te 0.000 0.000 0.500
H 0.000 0.000 0.000
Sb 0.500 0.000 0.000

Properties
**Mass density**: 8.22 g/cm3
**Uncorrected energy**: -12.79 eV for the cell shown
**Symmetry**: No. 123

[10]
First-principles (PBE-GGA) data for a relaxed structure of Pm4PrNdHo2, as listed in Alexandria.

abc: 3.636 6.269 12.063
angles: 79.92 90.00 90.00
Fractional coordinates of all 8 atoms:
Ho 0.000 0.000 0.000
Pm 0.500 0.249 0.751
Pm 0.000 0.248 0.252
Pr 0.500 0.500 0.000
Ho 0.500 0.000 0.500
Pm 0.000 0.752 0.748
Pm 0.500 0.751 0.249
Nd 0.000 0.500 0.500

Properties
**Mass density**: 7.33 g/cm3
**Uncorrected energy**: -37.57 eV for the cell shown
**Symmetry**: No. 10

[11]
First-principles (PBE-GGA) data for a relaxed structure of Co3BRu, as listed in Alexandria.

abc: 4.419 4.419 4.419
angles: 90.00 90.00 90.00
Site moments in Bohr magnetons follow the coordinates.
Fractional coordinates of all 5 atoms:
B 0.500 0.500 0.500  -0.04
Co 0.000 0.500 0.000  1.25
Co 0.500 0.000 0.000  0.86
Co 0.000 0.000 0.500  1.57
Ru 0.000 0.000 0.000  0.24

Properties
**Mass density**: 5.55 g/cm3
**Uncorrected energy**: -25.94 eV for the cell shown
**Symmetry**: No. 221

[12]
First-principles (PBE-GGA) data for a relaxed structure of SrLaZn2Ni, as listed in Alexandria.

abc: 5.018 4.953 5.018
angles: 90.00 90.00 90.00
Fractional coordinates of all 5 atoms:
Ni 0.000 0.000 0.000
La 0.000 0.500 0.000
Zn 0.500 0.000 0.000
Sr 0.500 0.500 0.500
Zn 0.000 0.000 0.500

Properties
**Mass density**: 5.54 g/cm3
**Uncorrected energy**: -15.73 eV for the cell shown
**Symmetry**: No. 123

[13]
First-principles (PBE-GGA) data for a relaxed structure of PrTlTc2O8, as listed in Alexandria.

abc: 6.141 6.141 7.864
angles: 90.00 90.00 120.00
Site moments in Bohr magnetons follow the coordinates.
Fractional coordinates of all 12 atoms:
Tc 0.667 0.333 0.233  0.63
Tl 0.000 0.000 0.000  0.01
Pr 0.000 0.000 0.500  0.07
O 0.348 0.174 0.311  0.04
Tc 0.333 0.667 0.767  0.63
O 0.826 0.174 0.311  0.04
O 0.174 0.826 0.689  0.04
O 0.667 0.333 0.011  0.08
O 0.652 0.826 0.689  0.04
O 0.826 0.652 0.311  0.04
O 0.174 0.348 0.689  0.04
O 0.333 0.667 0.989  0.08

Properties
**Mass density**: 4.33 g/cm3
**Formation energy (no corrections)**: -20.6 eV per formula unit
**Symmetry**: No. 164

[14]
First-principles (PBE-GGA) data for a relaxed structure of HoPuCdCu, as listed in Alexandria.

abc: 5.139 5.139 5.139
angles: 60.00 60.00 60.00
Site moments in Bohr magnetons follow the coordinates.
Fractional coordinates of all 4 atoms:
Ho 0.000 0.000 0.000  0.15
Pu 0.500 0.500 0.500  5.39
Cu 0.750 0.750 0.750  0.02
Cd 0.250 0.250 0.250  0.03

Properties
**Mass density**: 10.12 g/cm3
**Uncorrected energy**: -23.93 eV for the cell shown
**Symmetry**: No. 216

[15]
First-principles (PBE-GGA) data for a relaxed structure of TeO, as listed in Alexandria.

abc: 10.145 10.145 3.137
angles: 90.00 90.00 120.00
Fractional coordinates of all 12 atoms:
Te 0.574 0.861 0.750
Te 0.287 0.426 0.750
Te 0.713 0.574 0.250
Te 0.426 0.139 0.250
O 0.364 0.858 0.750
O 0.494 0.636 0.750
Te 0.861 0.287 0.250
O 0.142 0.506 0.750
O 0.636 0.142 0.250
O 0.858 0.494 0.250
Te 0.139 0.713 0.750
O 0.506 0.364 0.250

Properties
**Mass density**: 5.12 g/cm3
**Formation energy (no corrections)**: -0.6 eV per formula unit
**Symmetry**: No. 176